# 1
Density functional theory data (SCAN) for SnBrO2F at its PBEsol-relaxed geometry.

## Properties
Space group: P4/mmm (123)
Formation energy without anion corrections: -68 kJ/mol of formula units

```
5
Lattice="3.893 0.000 0.000 0.000 3.893 0.000 0.000 0.000 5.108" Properties=species:S:1:pos:R:3 pbc="T T T"
Sn 0.000 0.000 0.000
Br 1.946 1.946 2.554
O 0.000 1.946 2.554
O 1.946 0.000 2.554
F 1.946 1.946 0.000
```

# 2
Density functional theory data (SCAN) for SrBrOF2 at its PBEsol-relaxed geometry.

## Properties
Space group: P4/mmm (123)
Formation energy without anion corrections: -685 kJ/mol of formula units
Distance to the lowest polymorph of the same formula: 183 meV/atom

```
5
Lattice="4.685 0.000 0.000 0.000 4.685 0.000 0.000 0.000 4.011" Properties=species:S:1:pos:R:3 pbc="T T T"
Sr 0.000 0.000 0.000
Br 2.342 2.342 2.006
O 2.342 2.342 0.000
F 0.000 2.342 2.006
F 2.342 0.000 2.006
```

Copy entry 1 word for word.
Density functional theory data (SCAN) for SnBrO2F at its PBEsol-relaxed geometry.

## Properties
Space group: P4/mmm (123)
Formation energy without anion corrections: -68 kJ/mol of formula units

```
5
Lattice="3.893 0.000 0.000 0.000 3.893 0.000 0.000 0.000 5.108" Properties=species:S:1:pos:R:3 pbc="T T T"
Sn 0.000 0.000 0.000
Br 1.946 1.946 2.554
O 0.000 1.946 2.554
O 1.946 0.000 2.554
F 1.946 1.946 0.000
```

> Look up the formation energy without anion corrections of the first one.

-68 kJ/mol of formula units

> What is the formula in the second record?

SrBrOF2

Repeat the first record exactly.
Density functional theory data (SCAN) for SnBrO2F at its PBEsol-relaxed geometry.

## Properties
Space group: P4/mmm (123)
Formation energy without anion corrections: -68 kJ/mol of formula units

```
5
Lattice="3.893 0.000 0.000 0.000 3.893 0.000 0.000 0.000 5.108" Properties=species:S:1:pos:R:3 pbc="T T T"
Sn 0.000 0.000 0.000
Br 1.946 1.946 2.554
O 0.000 1.946 2.554
O 1.946 0.000 2.554
F 1.946 1.946 0.000
```